No. 1
VASP calculation (meta-GGA SCAN) on InCo2W at its PBEsol-relaxed geometry.

a b c (Å): 4.273 4.273 4.273
angles (deg): 60.00 60.00 60.00
Element x y z (fractional)
1 In 0.000 0.000 0.000
2 Co 0.250 0.250 0.250
3 Co 0.500 0.500 0.500
4 W 0.750 0.750 0.750

Output
Volume = 13.8 Å³/atom
E_form = 701 meV per atom


No. 2
VASP calculation (meta-GGA SCAN) on K2BaIr at its PBEsol-relaxed geometry.

a b c (Å): 4.767 4.767 5.940
angles (deg): 90.00 90.00 97.95
Element x y z (fractional)
1 K 0.208 0.792 0.000
2 K 0.792 0.208 0.000
3 Ba 0.500 0.500 0.500
4 Ir 0.000 0.000 0.500

Output
Volume = 33.4 Å³/atom
E_form = 544 meV per atom
Energy above the lowest structure with this stoichiometry = 152 meV per atom


No. 3
VASP calculation (meta-GGA SCAN) on LiMnPO4 at its PBEsol-relaxed geometry.

a b c (Å): 4.963 4.963 8.438
angles (deg): 104.79 104.79 61.05
Element x y z (fractional)
1 Li 0.179 0.821 0.500
2 Li 0.821 0.179 0.000
3 Mn 0.073 0.444 0.757
4 Mn 0.444 0.073 0.257
5 P 0.440 0.819 0.878
6 P 0.819 0.440 0.378
7 O 0.032 0.533 0.527
8 O 0.164 0.789 0.913
9 O 0.344 0.974 0.722
10 O 0.487 0.713 0.351
11 O 0.533 0.032 0.027
12 O 0.713 0.487 0.851
13 O 0.789 0.164 0.413
14 O 0.974 0.344 0.222

Output
Volume = 12.4 Å³/atom
Energy above the lowest structure with this stoichiometry = 16 meV per atom
E_form (uncorrected) = -2.472 eV/atom


No. 4
VASP calculation (meta-GGA SCAN) on ZrIn2Os at its PBEsol-relaxed geometry.

a b c (Å): 3.086 4.199 5.781
angles (deg): 90.00 90.00 90.00
Element x y z (fractional)
1 Zr 0.000 0.000 0.000
2 In 0.500 0.500 0.265
3 In 0.500 0.500 0.735
4 Os 0.000 0.000 0.500

Output
Volume = 18.7 Å³/atom
E_form = 123 meV per atom


No. 5
VASP calculation (meta-GGA SCAN) on MnZnW3 at its PBEsol-relaxed geometry.

a b c (Å): 4.484 4.484 4.484
angles (deg): 90.00 90.00 90.00
Element x y z (fractional)
1 Mn 0.000 0.000 0.000
2 Zn 0.500 0.500 0.500
3 W 0.000 0.500 0.500
4 W 0.500 0.000 0.500
5 W 0.500 0.500 0.000

Output
Volume = 18.0 Å³/atom
E_form = 1998 meV per atom


No. 6
VASP calculation (meta-GGA SCAN) on Al3C at its PBEsol-relaxed geometry.

a b c (Å): 8.039 8.039 2.991
angles (deg): 90.00 90.00 143.09
Element x y z (fractional)
1 Al 0.160 0.335 0.750
2 Al 0.247 0.753 0.750
3 Al 0.335 0.160 0.250
4 Al 0.665 0.840 0.750
5 Al 0.753 0.247 0.250
6 Al 0.840 0.665 0.250
7 C 0.400 0.600 0.250
8 C 0.600 0.400 0.750

Output
Volume = 14.5 Å³/atom
E_form = 369 meV per atom
Energy above the lowest structure with this stoichiometry = 400 meV per atom


No. 7
VASP calculation (meta-GGA SCAN) on NaCaGaSi2O7 at its PBEsol-relaxed geometry.

a b c (Å): 5.062 7.711 7.744
angles (deg): 90.00 91.34 90.00
Element x y z (fractional)
1 Na 0.005 0.000 0.431
2 Na 0.995 0.500 0.569
3 Ca 0.009 0.681 0.095
4 Ca 0.991 0.181 0.905
5 Ga 0.499 0.836 0.754
6 Ga 0.501 0.336 0.246
7 Si 0.444 0.478 0.895
8 Si 0.455 0.196 0.614
9 Si 0.545 0.696 0.386
10 Si 0.556 0.978 0.105
11 O 0.231 0.688 0.367
12 O 0.242 0.978 0.082
13 O 0.280 0.411 0.067
14 O 0.298 0.021 0.681
15 O 0.299 0.665 0.853
16 O 0.323 0.239 0.423
17 O 0.324 0.347 0.742
18 O 0.676 0.847 0.258
19 O 0.677 0.739 0.577
20 O 0.701 0.165 0.147
21 O 0.702 0.521 0.319
22 O 0.720 0.911 0.933
23 O 0.758 0.478 0.918
24 O 0.769 0.188 0.633

Output
Volume = 12.6 Å³/atom
E_form (uncorrected) = -2.854 eV/atom


No. 8
VASP calculation (meta-GGA SCAN) on TlCd2 at its PBEsol-relaxed geometry.

a b c (Å): 5.294 5.294 5.977
angles (deg): 90.00 90.00 120.00
Element x y z (fractional)
1 Tl 0.333 0.667 0.250
2 Tl 0.667 0.333 0.750
3 Cd 0.000 0.000 0.000
4 Cd 0.000 0.000 0.500
5 Cd 0.333 0.667 0.750
6 Cd 0.667 0.333 0.250

Output
Volume = 24.2 Å³/atom
E_form = 115 meV per atom


DFT total energy values, unit eV/atom, following the record order: -33.719; -31.283; -10.467; -42.214; -46.169; -7.969; -10.677; -44.281.